No. 1
Density functional theory data (PBE) for a relaxed structure of Mg2IrPb.

Summary:
- VASP energy: -3.95 eV/atom
- Symmetry: No. 123
- ΔE_f: -14.4 meV per atom
- N(E_F): 1.73 states/eV/f.u.

Cell lengths 4.650, 4.650, 3.515 Å; angles 90.00, 90.00, 90.00 degrees
Fractional positions:
Mg1 0.000 0.500 0.000
Mg2 0.500 0.000 0.000
Ir1 0.000 0.000 0.500
Pb1 0.500 0.500 0.500

=====

No. 2
Density functional theory data (PBE) for a relaxed structure of Mg2IrPb.

Summary:
- VASP energy: -3.69 eV/atom
- Symmetry: No. 122
- ΔE_f: 247.1 meV per atom
- N(E_F): 1.98 states/eV/f.u.

Cell lengths 10.110, 10.110, 10.110 Å; angles 155.98, 155.98, 34.23 degrees
Fractional positions:
Mg1 0.096 0.625 0.971
Mg2 0.375 0.346 0.471
Mg3 0.654 0.125 0.029
Mg4 0.875 0.904 0.529
Ir1 0.000 0.000 0.000
Ir2 0.750 0.250 0.500
Pb1 0.250 0.750 0.500
Pb2 0.500 0.500 0.000

=====

No. 3
Density functional theory data (PBE) for a relaxed structure of Mg2IrPb2.

Summary:
- VASP energy: -3.69 eV/atom
- Symmetry: No. 127
- ΔE_f: 202.4 meV per atom
- N(E_F): 1.55 states/eV/f.u.

Cell lengths 7.162, 7.162, 4.529 Å; angles 90.00, 90.00, 90.00 degrees
Fractional positions:
Mg1 0.166 0.334 0.000
Mg2 0.334 0.834 0.000
Mg3 0.666 0.166 0.000
Mg4 0.834 0.666 0.000
Ir1 0.000 0.000 0.500
Ir2 0.500 0.500 0.500
Pb1 0.150 0.650 0.500
Pb2 0.350 0.150 0.500
Pb3 0.650 0.850 0.500
Pb4 0.850 0.350 0.500

=====

No. 4
Density functional theory data (PBE) for a relaxed structure of MgIr2Pb.

Summary:
- VASP energy: -5.58 eV/atom
- Symmetry: No. 6
- ΔE_f: 178.8 meV per atom
- N(E_F): 2.27 states/eV/f.u.

Cell lengths 3.007, 4.110, 5.676 Å; angles 90.00, 90.01, 90.00 degrees
Fractional positions:
Mg1 0.000 0.000 0.000
Ir1 0.499 0.500 0.187
Ir2 0.998 0.000 0.462
Pb1 0.498 0.500 0.689

=====

No. 5
Density functional theory data (PBE) for a relaxed structure of MgIr2Pb.

Summary:
- VASP energy: -5.63 eV/atom
- Symmetry: No. 44
- ΔE_f: 121.5 meV per atom
- N(E_F): 2.01 states/eV/f.u.

Cell lengths 6.635, 6.635, 6.635 Å; angles 154.30, 142.18, 46.29 degrees
Fractional positions:
Mg1 0.000 0.000 0.000
Ir1 0.463 0.463 0.000
Ir2 0.644 0.144 0.500
Pb1 0.261 0.761 0.500

=====

No. 6
Density functional theory data (PBE) for a relaxed structure of Mg2IrPb.

Summary:
- VASP energy: -4.01 eV/atom
- Symmetry: No. 119
- ΔE_f: -70.8 meV per atom
- N(E_F): 1.51 states/eV/f.u.

Cell lengths 5.129, 5.129, 5.129 Å; angles 130.73, 130.73, 72.25 degrees
Fractional positions:
Mg1 0.000 0.000 0.000
Mg2 0.750 0.250 0.500
Ir1 0.250 0.750 0.500
Pb1 0.500 0.500 0.000

=====

No. 7
Density functional theory data (PBE) for a relaxed structure of MgIr2Pb.

Summary:
- VASP energy: -5.58 eV/atom
- Symmetry: No. 99
- ΔE_f: 172.6 meV per atom
- N(E_F): 5.56 states/eV/f.u.

Cell lengths 3.034, 3.034, 8.312 Å; angles 90.00, 90.00, 90.00 degrees
Fractional positions:
Mg1 0.000 0.000 0.000
Ir1 0.000 0.000 0.596
Ir2 0.500 0.500 0.800
Pb1 0.500 0.500 0.350

=====

No. 8
Density functional theory data (PBE) for a relaxed structure of MgIrPb.

Summary:
- VASP energy: -4.73 eV/atom
- Symmetry: No. 107
- ΔE_f: -7.4 meV per atom
- N(E_F): 1.09 states/eV/f.u.

Cell lengths 6.493, 6.493, 6.493 Å; angles 151.28, 151.28, 41.07 degrees
Fractional positions:
Mg1 0.000 0.000 0.000
Ir1 0.379 0.379 0.000
Pb1 0.729 0.729 0.000

=====

No. 9
Density functional theory data (PBE) for a relaxed structure of MgIrPb4.

Summary:
- VASP energy: -3.47 eV/atom
- Symmetry: No. 216
- ΔE_f: 745.4 meV per atom
- N(E_F): 4.32 states/eV/f.u.

Cell lengths 6.236, 6.236, 6.236 Å; angles 60.00, 60.00, 60.00 degrees
Fractional positions:
Mg1 0.000 0.000 0.000
Ir1 0.250 0.250 0.250
Pb1 0.127 0.624 0.624
Pb2 0.624 0.127 0.624
Pb3 0.624 0.624 0.127
Pb4 0.624 0.624 0.624

=====

No. 10
Density functional theory data (PBE) for a relaxed structure of Mg2IrPb.

Summary:
- VASP energy: -3.96 eV/atom
- Symmetry: No. 25
- ΔE_f: -17.2 meV per atom
- N(E_F): 1.15 states/eV/f.u.

Cell lengths 3.210, 3.944, 6.325 Å; angles 90.00, 90.00, 90.00 degrees
Fractional positions:
Mg1 0.000 0.000 0.000
Mg2 0.500 0.500 0.259
Ir1 0.500 0.500 0.829
Pb1 0.000 0.000 0.554

=====

No. 11
Density functional theory data (PBE) for a relaxed structure of MgIr2Pb.

Summary:
- VASP energy: -5.45 eV/atom
- Symmetry: No. 166
- ΔE_f: 310.1 meV per atom
- N(E_F): 5.50 states/eV/f.u.

Cell lengths 9.469, 9.469, 9.469 Å; angles 18.13, 18.13, 18.13 degrees
Fractional positions:
Mg1 0.000 0.000 0.000
Ir1 0.258 0.258 0.258
Ir2 0.742 0.742 0.742
Pb1 0.500 0.500 0.500

=====

No. 12
Density functional theory data (PBE) for a relaxed structure of MgIr2Pb.

Summary:
- VASP energy: -5.73 eV/atom
- Symmetry: No. 123
- ΔE_f: 25.6 meV per atom
- N(E_F): 1.30 states/eV/f.u.

Cell lengths 4.308, 4.308, 3.680 Å; angles 90.00, 90.00, 90.00 degrees
Fractional positions:
Mg1 0.000 0.000 0.000
Ir1 0.000 0.500 0.500
Ir2 0.500 0.000 0.500
Pb1 0.500 0.500 0.000